(one)
# Rb2ClF

An optimized crystal structure of Rb2ClF (PBE, the Alexandria database).

Crystal system ... cubic
Calculated volume ... 108.1 Å³/f.u.
Magnetic moment ... 0.0 μB per cell

The structure in CIF format:
```
data_Rb2ClF
_cell_length_a 7.561
_cell_length_b 7.561
_cell_length_c 7.561
_cell_angle_alpha 90.00
_cell_angle_beta 90.00
_cell_angle_gamma 90.00
_symmetry_space_group_name_H-M 'F m -3 m'
_symmetry_Int_Tables_number 225
_symmetry_space_group_name_Hall '-F 4 2 3'
loop_
_atom_site_label
_atom_site_type_symbol
_atom_site_fract_x
_atom_site_fract_y
_atom_site_fract_z
Rb1 Rb 0.250 0.250 0.250
Cl1 Cl 0.000 0.000 0.000
F1 F 0.000 0.000 0.500
```

(two)
# Rb2ClF

An optimized crystal structure of Rb2ClF (PBE, the Alexandria database).

Crystal system ... tetragonal
Calculated volume ... 104.7 Å³/f.u.
Magnetic moment ... 0.0 μB per cell

The structure in CIF format:
```
data_Rb2ClF
_cell_length_a 3.723
_cell_length_b 3.723
_cell_length_c 7.552
_cell_angle_alpha 90.00
_cell_angle_beta 90.00
_cell_angle_gamma 90.00
_symmetry_space_group_name_H-M 'P 4/m m m'
_symmetry_Int_Tables_number 123
_symmetry_space_group_name_Hall '-P 4 2'
loop_
_atom_site_label
_atom_site_type_symbol
_atom_site_fract_x
_atom_site_fract_y
_atom_site_fract_z
Rb1 Rb 0.000 0.000 0.226
Cl1 Cl 0.500 0.500 0.500
F1 F 0.500 0.500 0.000
```

(three)
# Rb2ClF

An optimized crystal structure of Rb2ClF (PBE, the Alexandria database).

Crystal system ... orthorhombic
Calculated volume ... 123.2 Å³/f.u.
Magnetic moment ... 0.6 μB per cell

The structure in CIF format:
```
data_Rb2ClF
_cell_length_a 7.602
_cell_length_b 4.472
_cell_length_c 14.495
_cell_angle_alpha 90.00
_cell_angle_beta 90.00
_cell_angle_gamma 90.00
_symmetry_space_group_name_H-M 'P n m a'
_symmetry_Int_Tables_number 62
loop_
_symmetry_equiv_pos_as_xyz
'x,y,z'
'-x,-y,-z'
'-x+1/2,-y,z+1/2'
'x+1/2,y,-z+1/2'
'x+1/2,-y+1/2,-z+1/2'
'-x+1/2,y+1/2,z+1/2'
'-x,y+1/2,-z'
'x,-y+1/2,z'
loop_
_atom_site_label
_atom_site_type_symbol
_atom_site_fract_x
_atom_site_fract_y
_atom_site_fract_z
Rb1 Rb 0.152 0.250 0.247
Rb2 Rb 0.210 0.250 0.515
Cl1 Cl 0.098 0.250 0.862
F1 F 0.086 0.750 0.608
```

(four)
# Rb2ClF

An optimized crystal structure of Rb2ClF (PBE, the Alexandria database).

Crystal system ... trigonal
Calculated volume ... 119.5 Å³/f.u.
Magnetic moment ... 0.0 μB per cell

The structure in CIF format:
```
data_Rb2ClF
_cell_length_a 4.3539
_cell_length_b 4.3539
_cell_length_c 21.8407
_cell_angle_alpha 90.00
_cell_angle_beta 90.00
_cell_angle_gamma 120.00
_symmetry_space_group_name_H-M 'R -3 m'
_symmetry_Int_Tables_number 166
_symmetry_space_group_name_Hall '-R 3 2"'
loop_
_atom_site_label
_atom_site_type_symbol
_atom_site_fract_x
_atom_site_fract_y
_atom_site_fract_z
Rb1 Rb 0.0000 0.0000 0.2382
Cl1 Cl 0.0000 0.0000 0.0000
F1 F 0.0000 0.0000 0.5000
```

(three) takes first place; second place is 0.010 eV/atom up.

(one)
# Rb2ClF

An optimized crystal structure of Rb2ClF (PBE, the Alexandria database).

Crystal system ... orthorhombic
Calculated volume ... 121.6 Å³/f.u.
Magnetic moment ... 0.0 μB per cell

The structure in CIF format:
```
data_Rb2ClF
_cell_length_a 4.264
_cell_length_b 6.395
_cell_length_c 8.921
_cell_angle_alpha 90.00
_cell_angle_beta 90.00
_cell_angle_gamma 90.00
_symmetry_space_group_name_H-M 'P m m n'
_symmetry_Int_Tables_number 59
loop_
_symmetry_equiv_pos_as_xyz
'x,y,z'
'-x,-y,-z'
'-x+1/2,-y+1/2,z'
'x+1/2,y+1/2,-z'
'x+1/2,-y,-z'
'-x+1/2,y,z'
'-x,y+1/2,-z'
'x,-y+1/2,z'
loop_
_atom_site_label
_atom_site_type_symbol
_atom_site_fract_x
_atom_site_fract_y
_atom_site_fract_z
Rb1 Rb 0.250 0.250 0.095
Rb2 Rb 0.250 0.250 0.658
Cl1 Cl 0.250 0.750 0.629
F1 F 0.250 0.750 0.112
```

(two)
# Rb2ClF

An optimized crystal structure of Rb2ClF (PBE, the Alexandria database).

Crystal system ... tetragonal
Calculated volume ... 137.0 Å³/f.u.
Magnetic moment ... 0.0 μB per cell

The structure in CIF format:
```
data_Rb2ClF
_cell_length_a 7.719
_cell_length_b 7.719
_cell_length_c 9.200
_cell_angle_alpha 90.00
_cell_angle_beta 90.00
_cell_angle_gamma 90.00
_symmetry_space_group_name_H-M 'I -4 2 d'
_symmetry_Int_Tables_number 122
_symmetry_space_group_name_Hall 'I -4 2bw'
loop_
_atom_site_label
_atom_site_type_symbol
_atom_site_fract_x
_atom_site_fract_y
_atom_site_fract_z
Rb1 Rb 0.195 0.250 0.125
Cl1 Cl 0.000 0.000 0.500
F1 F 0.000 0.000 0.000
```

(three)
# Rb2ClF

An optimized crystal structure of Rb2ClF (PBE, the Alexandria database).

Crystal system ... trigonal
Calculated volume ... 119.1 Å³/f.u.
Magnetic moment ... 0.0 μB per cell

The structure in CIF format:
```
data_Rb2ClF
_cell_length_a 4.2803
_cell_length_b 4.2803
_cell_length_c 22.5252
_cell_angle_alpha 90.00
_cell_angle_beta 90.00
_cell_angle_gamma 120.00
_symmetry_space_group_name_H-M 'R 3 m'
_symmetry_Int_Tables_number 160
_symmetry_space_group_name_Hall 'R 3 -2"'
loop_
_atom_site_label
_atom_site_type_symbol
_atom_site_fract_x
_atom_site_fract_y
_atom_site_fract_z
Rb1 Rb 0.0000 0.0000 0.0000
Rb2 Rb 0.0000 0.0000 0.1904
Cl1 Cl 0.0000 0.0000 0.4278
F1 F 0.0000 0.0000 0.5960
```

(one) takes first place; second place is 0.016 eV/atom up.

(one)
# Rb2ClF2

An optimized crystal structure of Rb2ClF2 (PBE, the Alexandria database).

Crystal system ... monoclinic
Calculated volume ... 142.2 Å³/f.u.
Magnetic moment ... 2.0 μB per cell

The structure in CIF format:
```
data_Rb2ClF2
_cell_length_a 8.842
_cell_length_b 4.485
_cell_length_c 7.197
_cell_angle_alpha 90.00
_cell_angle_beta 95.07
_cell_angle_gamma 90.00
_symmetry_space_group_name_H-M 'C 1 2/m 1'
_symmetry_Int_Tables_number 12
loop_
_symmetry_equiv_pos_as_xyz
'x,y,z'
'-x,-y,-z'
'-x,y,-z'
'x,-y,z'
'x+1/2,y+1/2,z'
'-x+1/2,-y+1/2,-z'
'-x+1/2,y+1/2,-z'
'x+1/2,-y+1/2,z'
loop_
_atom_site_label
_atom_site_type_symbol
_atom_site_fract_x
_atom_site_fract_y
_atom_site_fract_z
Rb1 Rb 0.169 0.000 0.220
Cl1 Cl 0.000 0.500 0.500
F1 F 0.148 0.000 0.828
```

(two)
# Rb2ClF2

An optimized crystal structure of Rb2ClF2 (PBE, the Alexandria database).

Crystal system ... tetragonal
Calculated volume ... 151.3 Å³/f.u.
Magnetic moment ... 2.0 μB per cell

The structure in CIF format:
```
data_Rb2ClF2
_cell_length_a 4.671
_cell_length_b 4.671
_cell_length_c 13.863
_cell_angle_alpha 90.00
_cell_angle_beta 90.00
_cell_angle_gamma 90.00
_symmetry_space_group_name_H-M 'I 4/m m m'
_symmetry_Int_Tables_number 139
_symmetry_space_group_name_Hall '-I 4 2'
loop_
_atom_site_label
_atom_site_type_symbol
_atom_site_fract_x
_atom_site_fract_y
_atom_site_fract_z
Rb1 Rb 0.000 0.000 0.150
Cl1 Cl 0.000 0.000 0.500
F1 F 0.000 0.500 0.250
```

(three)
# Rb2ClF2

An optimized crystal structure of Rb2ClF2 (PBE, the Alexandria database).

Crystal system ... tetragonal
Calculated volume ... 115.2 Å³/f.u.
Magnetic moment ... 2.0 μB per cell

The structure in CIF format:
```
data_Rb2ClF2
_cell_length_a 7.809
_cell_length_b 7.809
_cell_length_c 3.777
_cell_angle_alpha 90.00
_cell_angle_beta 90.00
_cell_angle_gamma 90.00
_symmetry_space_group_name_H-M 'P 4/m b m'
_symmetry_Int_Tables_number 127
_symmetry_space_group_name_Hall '-P 4 2ab'
loop_
_atom_site_label
_atom_site_type_symbol
_atom_site_fract_x
_atom_site_fract_y
_atom_site_fract_z
Rb1 Rb 0.161 0.339 0.000
Cl1 Cl 0.000 0.000 0.500
F1 F 0.147 0.647 0.500
```

(three) takes first place; second place is 0.026 eV/atom up.

(one)
# RbClF2

An optimized crystal structure of RbClF2 (PBE, the Alexandria database).

Crystal system ... cubic
Calculated volume ... 78.2 Å³/f.u.
Magnetic moment ... 8.0 μB per cell

The structure in CIF format:
```
data_RbClF2
_cell_length_a 6.788
_cell_length_b 6.788
_cell_length_c 6.788
_cell_angle_alpha 90.00
_cell_angle_beta 90.00
_cell_angle_gamma 90.00
_symmetry_space_group_name_H-M 'F m -3 m'
_symmetry_Int_Tables_number 225
_symmetry_space_group_name_Hall '-F 4 2 3'
loop_
_atom_site_label
_atom_site_type_symbol
_atom_site_fract_x
_atom_site_fract_y
_atom_site_fract_z
Rb1 Rb 0.000 0.000 0.000
Cl1 Cl 0.000 0.000 0.500
F1 F 0.250 0.250 0.250
```

(two)
# RbClF2

An optimized crystal structure of RbClF2 (PBE, the Alexandria database).

Crystal system ... trigonal
Calculated volume ... 106.8 Å³/f.u.
Magnetic moment ... 0.0 μB per cell

The structure in CIF format:
```
data_RbClF2
_cell_length_a 4.5288
_cell_length_b 4.5288
_cell_length_c 18.0398
_cell_angle_alpha 90.00
_cell_angle_beta 90.00
_cell_angle_gamma 120.00
_symmetry_space_group_name_H-M 'R -3 m'
_symmetry_Int_Tables_number 166
_symmetry_space_group_name_Hall '-R 3 2"'
loop_
_atom_site_label
_atom_site_type_symbol
_atom_site_fract_x
_atom_site_fract_y
_atom_site_fract_z
Rb1 Rb 0.0000 0.0000 0.0000
Cl1 Cl 0.0000 0.0000 0.5000
F1 F 0.0000 0.0000 0.3952
```

(two) takes first place; second place is 0.623 eV/atom up.

(one)
# RbClF2

An optimized crystal structure of RbClF2 (PBE, the Alexandria database).

Crystal system ... hexagonal
Calculated volume ... 109.0 Å³/f.u.
Magnetic moment ... 0.0 μB per cell

The structure in CIF format:
```
data_RbClF2
_cell_length_a 4.6195
_cell_length_b 4.6195
_cell_length_c 11.7951
_cell_angle_alpha 90.00
_cell_angle_beta 90.00
_cell_angle_gamma 120.00
_symmetry_space_group_name_H-M 'P 63/m m c'
_symmetry_Int_Tables_number 194
_symmetry_space_group_name_Hall '-P 6c 2c'
loop_
_atom_site_label
_atom_site_type_symbol
_atom_site_fract_x
_atom_site_fract_y
_atom_site_fract_z
Rb1 Rb 0.0000 0.0000 0.0000
Cl1 Cl 0.3333 0.6667 0.2500
F1 F 0.3333 0.6667 0.0897
```

(two)
# RbClF2

An optimized crystal structure of RbClF2 (PBE, the Alexandria database).

Crystal system ... trigonal
Calculated volume ... 76.2 Å³/f.u.
Magnetic moment ... 0.0 μB per cell

The structure in CIF format:
```
data_RbClF2
_cell_length_a 4.3845
_cell_length_b 4.3845
_cell_length_c 13.7367
_cell_angle_alpha 90.00
_cell_angle_beta 90.00
_cell_angle_gamma 120.00
_symmetry_space_group_name_H-M 'R -3 m'
_symmetry_Int_Tables_number 166
_symmetry_space_group_name_Hall '-R 3 2"'
loop_
_atom_site_label
_atom_site_type_symbol
_atom_site_fract_x
_atom_site_fract_y
_atom_site_fract_z
Rb1 Rb 0.0000 0.0000 0.0000
Cl1 Cl 0.0000 0.0000 0.5000
F1 F 0.0000 0.0000 0.2086
```

(three)
# RbClF2

An optimized crystal structure of RbClF2 (PBE, the Alexandria database).

Crystal system ... tetragonal
Calculated volume ... 88.6 Å³/f.u.
Magnetic moment ... 0.0 μB per cell

The structure in CIF format:
```
data_RbClF2
_cell_length_a 4.859
_cell_length_b 4.859
_cell_length_c 15.012
_cell_angle_alpha 90.00
_cell_angle_beta 90.00
_cell_angle_gamma 90.00
_symmetry_space_group_name_H-M 'I -4 2 d'
_symmetry_Int_Tables_number 122
_symmetry_space_group_name_Hall 'I -4 2bw'
loop_
_atom_site_label
_atom_site_type_symbol
_atom_site_fract_x
_atom_site_fract_y
_atom_site_fract_z
Rb1 Rb 0.000 0.000 0.000
Cl1 Cl 0.000 0.000 0.500
F1 F 0.129 0.250 0.625
```

(one) takes first place; second place is 0.491 eV/atom up.

(one)
# Rb2SCl6F

An optimized crystal structure of Rb2SCl6F (PBE, the Alexandria database).

Crystal system ... tetragonal
Calculated volume ... 262.9 Å³/f.u.
Magnetic moment ... 0.0 μB per cell

The structure in CIF format:
```
data_Rb2SCl6F
_cell_length_a 7.604
_cell_length_b 7.604
_cell_length_c 9.094
_cell_angle_alpha 90.00
_cell_angle_beta 90.00
_cell_angle_gamma 90.00
_symmetry_space_group_name_H-M 'I 4/m m m'
_symmetry_Int_Tables_number 139
_symmetry_space_group_name_Hall '-I 4 2'
loop_
_atom_site_label
_atom_site_type_symbol
_atom_site_fract_x
_atom_site_fract_y
_atom_site_fract_z
Rb1 Rb 0.000 0.500 0.250
S1 S 0.000 0.000 0.000
Cl1 Cl 0.000 0.000 0.257
Cl2 Cl 0.216 0.216 0.000
F1 F 0.000 0.000 0.500
```

(two)
# Rb2SCl6F

An optimized crystal structure of Rb2SCl6F (PBE, the Alexandria database).

Crystal system ... cubic
Calculated volume ... 253.5 Å³/f.u.
Magnetic moment ... 0.0 μB per cell

The structure in CIF format:
```
data_Rb2SCl6F
_cell_length_a 10.046
_cell_length_b 10.046
_cell_length_c 10.046
_cell_angle_alpha 90.00
_cell_angle_beta 90.00
_cell_angle_gamma 90.00
_symmetry_space_group_name_H-M 'F m -3 m'
_symmetry_Int_Tables_number 225
_symmetry_space_group_name_Hall '-F 4 2 3'
loop_
_atom_site_label
_atom_site_type_symbol
_atom_site_fract_x
_atom_site_fract_y
_atom_site_fract_z
Rb1 Rb 0.250 0.250 0.250
S1 S 0.000 0.000 0.000
Cl1 Cl 0.000 0.000 0.229
F1 F 0.000 0.000 0.500
```

(one) takes first place; second place is 0.016 eV/atom up.